# Sm6TcTe2

Crystalline Sm6TcTe2 at its relaxed geometry (GGA-PBE, the Open Quantum Materials Database).

a b c (Å): 8.5137 8.5137 4.0752
angles (deg): 90.00 90.00 120.00
Space group P-62m (No. 189)
Asymmetric unit:
Sm: 0.0000 0.4008 0.0000 x3
Sm: 0.0000 0.7606 0.5000 x3
Tc: 0.0000 0.0000 0.0000 x1
Te: 0.3333 0.6667 0.5000 x2



# SmThTc

Crystalline SmThTc at its relaxed geometry (GGA-PBE, the Open Quantum Materials Database).

a b c (Å): 6.820 6.820 6.820
angles (deg): 90.00 90.00 90.00
Space group F-43m (No. 216)
Asymmetric unit:
Sm: 0.000 0.000 0.000 x4
Th: 0.250 0.250 0.250 x4
Tc: 0.250 0.250 0.750 x4



# Sm6Tl2Tc

Crystalline Sm6Tl2Tc at its relaxed geometry (GGA-PBE, the Open Quantum Materials Database).

a b c (Å): 8.7430 8.7430 3.9800
angles (deg): 90.00 90.00 120.00
Space group P-62m (No. 189)
Asymmetric unit:
Sm: 0.0000 0.3901 0.0000 x3
Sm: 0.0000 0.7606 0.5000 x3
Tl: 0.3333 0.6667 0.5000 x2
Tc: 0.0000 0.0000 0.0000 x1



# SmTlTc

Crystalline SmTlTc at its relaxed geometry (GGA-PBE, the Open Quantum Materials Database).

a b c (Å): 6.914 6.914 6.914
angles (deg): 90.00 90.00 90.00
Space group F-43m (No. 216)
Asymmetric unit:
Sm: 0.000 0.000 0.000 x4
Tl: 0.250 0.250 0.250 x4
Tc: 0.250 0.250 0.750 x4

Calculated values
Energy relative to the lowest polymorph listed for this composition in meV per atom: 366



Number 1: total energy -5.64 eV/atom, calculated density 8.15 g/cm3. Number 2: total energy -6.62 eV/atom, calculated density 10.06 g/cm3. Number 3: total energy -5.02 eV/atom, calculated density 8.88 g/cm3. Number 4: total energy -4.77 eV/atom, calculated density 9.10 g/cm3.